1.
# InTcSn2Ge PBE-GGA optimized geometry
# energy of formation: 131.5 kJ per mole of atoms
# V: 32.706 A^3/atom
# final energy: -3.78 eV per atom
# size of the total moment: 0.572 μB per atom
data_InTcSn2Ge
_cell_length_a 5.555
_cell_length_b 5.555
_cell_length_c 5.300
_cell_angle_alpha 90.00
_cell_angle_beta 90.00
_cell_angle_gamma 90.00
_space_group_name_H-M_alt 'P 1'
_space_group_IT_number 1
_space_group_name_Hall 'P 1'
loop_
_atom_site_label
_atom_site_fract_x
_atom_site_fract_y
_atom_site_fract_z
Sn1 0.500 0.000 0.000
Sn2 0.000 0.500 0.000
Tc1 0.000 0.000 0.500
In1 0.000 0.000 0.000
Ge1 0.500 0.500 0.500


2.
# In3Sn2GeTe6 PBE-GGA optimized geometry
# uncorrected formation energy: -2.79 eV per formula unit
# V: 30.942 A^3/atom
# final energy: -3.54 eV per atom
# size of the total moment: 0.000 μB per atom
data_In3Sn2GeTe6
_cell_length_a 4.440
_cell_length_b 8.936
_cell_length_c 9.903
_cell_angle_alpha 103.77
_cell_angle_beta 102.95
_cell_angle_gamma 90.00
_space_group_name_H-M_alt 'P 1'
_space_group_IT_number 1
_space_group_name_Hall 'P 1'
loop_
_atom_site_label
_atom_site_fract_x
_atom_site_fract_y
_atom_site_fract_z
In1 0.168 0.834 0.337
In2 0.500 0.500 0.000
Te1 0.333 0.415 0.666
Te2 0.003 0.764 0.005
Ge1 0.500 0.000 0.000
Te3 0.667 0.585 0.334
Te4 0.663 0.080 0.326
Sn1 0.165 0.330 0.329
Te5 0.997 0.236 0.995
Sn2 0.835 0.670 0.671
In3 0.832 0.166 0.663
Te6 0.337 0.920 0.674


3.
# TiIn2SnGe PBE-GGA optimized geometry
# energy of formation: 56.2 kJ per mole of atoms
# V: 31.340 A^3/atom
# final energy: -3.82 eV per atom
# size of the total moment: 0.000 μB per atom
data_TiIn2SnGe
_cell_length_a 5.411
_cell_length_b 5.352
_cell_length_c 5.411
_cell_angle_alpha 90.00
_cell_angle_beta 90.00
_cell_angle_gamma 90.00
_space_group_name_H-M_alt 'P 1'
_space_group_IT_number 1
_space_group_name_Hall 'P 1'
loop_
_atom_site_label
_atom_site_fract_x
_atom_site_fract_y
_atom_site_fract_z
In1 0.500 0.000 0.000
Ge1 0.500 0.500 0.500
Sn1 0.000 0.500 0.000
In2 0.000 0.000 0.500
Ti1 0.000 0.000 0.000


4.
# TlInSnGe PBE-GGA optimized geometry
# energy of formation: 18.9 kJ per mole of atoms
# V: 26.585 A^3/atom
# final energy: -3.24 eV per atom
# size of the total moment: 0.000 μB per atom
data_TlInSnGe
_cell_length_a 5.318
_cell_length_b 5.318
_cell_length_c 5.318
_cell_angle_alpha 60.00
_cell_angle_beta 60.00
_cell_angle_gamma 60.00
_space_group_name_H-M_alt 'P 1'
_space_group_IT_number 1
_space_group_name_Hall 'P 1'
loop_
_atom_site_label
_atom_site_fract_x
_atom_site_fract_y
_atom_site_fract_z
Tl1 0.000 0.000 0.000
Sn1 0.500 0.500 0.500
Ge1 0.250 0.250 0.250
In1 0.750 0.750 0.750